Record 1
Be2TlPb: optimized geometry, PBE.

The density of states at the Fermi level comes out at 3.9 states/eV per cell. The magnetization comes out at 0.00 μB per formula unit. Its calculated formation energy is 0.7220 eV/atom.

The structure belongs to space group R-3m (No. 166, hexagonal axes); the cell edges are 3.4759, 3.4759 and 22.5262 Å and the angles 90.00°, 90.00° and 120.00°. Symmetry generates all atoms from Be at (0.0000, 0.0000, 0.2494), Tl at (0.0000, 0.0000, 0.0000) and Pb at (0.0000, 0.0000, 0.5000).

=====

Record 2
CaSi2Se: optimized geometry, PBE.

The density of states at the Fermi level comes out at 0.6 states/eV per cell. The magnetization comes out at 0.00 μB per formula unit. The uncorrected formation energy comes out at -635 meV per atom.

The structure belongs to space group Cm (No. 8); the cell edges are 20.9624, 4.5155 and 3.9165 Å and the angles 90.00°, 91.86° and 90.00°. Symmetry generates all atoms from Ca at (0.0000, 0.0000, 0.0000), Ca at (0.1379, 0.5000, 0.5100), Si at (0.2695, 0.0000, 0.2871), Si at (0.2837, 0.5000, 0.5063), Si at (0.3428, 0.0000, 0.8080), Si at (0.3508, 0.5000, 0.0244), Se at (0.0000, 0.5000, 0.5010) and Se at (0.1466, 0.0000, 0.0117).